No. 1
# CeNdMg17 (GGA-PBE, relaxed)
data_CeNdMg17
_cell_length_a 7.807
_cell_length_b 7.807
_cell_length_c 7.807
_cell_angle_alpha 82.29
_cell_angle_beta 82.29
_cell_angle_gamma 82.29
_symmetry_space_group_name_H-M 'P 1'
_symmetry_Int_Tables_number 1
loop_
_symmetry_equiv_pos_as_xyz
'x,y,z'
loop_
_atom_site_label
_atom_site_type_symbol
_atom_site_fract_x
_atom_site_fract_y
_atom_site_fract_z
_atom_site_occupancy
Ce1 Ce 0.000 0.000 0.000 1
Nd1 Nd 0.662 0.662 0.662 1
Mg1 Mg 0.029 0.331 0.633 1
Mg2 Mg 0.029 0.633 0.331 1
Mg3 Mg 0.172 0.682 0.682 1
Mg4 Mg 0.232 0.232 0.232 1
Mg5 Mg 0.330 0.330 0.832 1
Mg6 Mg 0.330 0.832 0.330 1
Mg7 Mg 0.331 0.029 0.633 1
Mg8 Mg 0.331 0.633 0.029 1
Mg9 Mg 0.430 0.430 0.430 1
Mg10 Mg 0.492 0.980 0.980 1
Mg11 Mg 0.633 0.029 0.331 1
Mg12 Mg 0.633 0.331 0.029 1
Mg13 Mg 0.682 0.172 0.682 1
Mg14 Mg 0.682 0.682 0.172 1
Mg15 Mg 0.832 0.330 0.330 1
Mg16 Mg 0.980 0.492 0.980 1
Mg17 Mg 0.980 0.980 0.492 1
# Calculated total energy ... -2.024 eV per atom
# Calculated volume ... 463.99 Å³/cell
# DFT formation energy ... -0.034 eV per atom

---

No. 2
# NaAc3Ga2O9 (GGA-PBE, relaxed)
data_NaAc3Ga2O9
_cell_length_a 5.625
_cell_length_b 5.625
_cell_length_c 7.203
_cell_angle_alpha 90.00
_cell_angle_beta 90.00
_cell_angle_gamma 120.00
_symmetry_space_group_name_H-M 'P 1'
_symmetry_Int_Tables_number 1
loop_
_symmetry_equiv_pos_as_xyz
'x,y,z'
loop_
_atom_site_label
_atom_site_type_symbol
_atom_site_fract_x
_atom_site_fract_y
_atom_site_fract_z
_atom_site_occupancy
Na1 Na 0.000 0.000 0.000 1
Ac1 Ac 0.000 0.000 0.500 1
Ac2 Ac 0.333 0.667 0.164 1
Ac3 Ac 0.667 0.333 0.836 1
Ga1 Ga 0.333 0.667 0.655 1
Ga2 Ga 0.667 0.333 0.345 1
O1 O 0.000 0.500 0.500 1
O2 O 0.175 0.349 0.820 1
O3 O 0.175 0.825 0.820 1
O4 O 0.349 0.175 0.180 1
O5 O 0.500 0.000 0.500 1
O6 O 0.500 0.500 0.500 1
O7 O 0.651 0.825 0.820 1
O8 O 0.825 0.175 0.180 1
O9 O 0.825 0.651 0.180 1
# Calculated total energy ... -6.612 eV per atom
# Calculated volume ... 197.37 Å³/cell
# Raw formation energy ... -2324 meV per atom

---

No. 3
# CaEuSn2 (GGA-PBE, relaxed)
data_CaEuSn2
_cell_length_a 4.983
_cell_length_b 4.983
_cell_length_c 4.642
_cell_angle_alpha 90.00
_cell_angle_beta 90.00
_cell_angle_gamma 90.00
_symmetry_space_group_name_H-M 'P 1'
_symmetry_Int_Tables_number 1
loop_
_symmetry_equiv_pos_as_xyz
'x,y,z'
loop_
_atom_site_label
_atom_site_type_symbol
_atom_site_fract_x
_atom_site_fract_y
_atom_site_fract_z
_atom_site_occupancy
Ca1 Ca 0.000 0.000 0.000 1
Eu1 Eu 0.500 0.500 0.000 1
Sn1 Sn 0.000 0.500 0.500 1
Sn2 Sn 0.500 0.000 0.500 1
# Calculated total energy ... -5.712 eV per atom
# Calculated volume ... 115.27 Å³/cell
# DFT formation energy ... -0.642 eV per atom

---

No. 4
# Nd5ErMg6 (GGA-PBE, relaxed)
data_Nd5ErMg6
_cell_length_a 5.462
_cell_length_b 7.746
_cell_length_c 8.643
_cell_angle_alpha 90.00
_cell_angle_beta 108.37
_cell_angle_gamma 90.00
_symmetry_space_group_name_H-M 'P 1'
_symmetry_Int_Tables_number 1
loop_
_symmetry_equiv_pos_as_xyz
'x,y,z'
loop_
_atom_site_label
_atom_site_type_symbol
_atom_site_fract_x
_atom_site_fract_y
_atom_site_fract_z
_atom_site_occupancy
Nd1 Nd 0.000 0.000 0.000 1
Nd2 Nd 0.331 0.000 0.663 1
Nd3 Nd 0.336 0.500 0.671 1
Nd4 Nd 0.664 0.500 0.329 1
Nd5 Nd 0.669 0.000 0.337 1
Er1 Er 0.000 0.500 0.000 1
Mg1 Mg 0.165 0.255 0.329 1
Mg2 Mg 0.165 0.745 0.329 1
Mg3 Mg 0.500 0.252 0.000 1
Mg4 Mg 0.500 0.748 0.000 1
Mg5 Mg 0.835 0.255 0.671 1
Mg6 Mg 0.835 0.745 0.671 1
# Calculated total energy ... -3.268 eV per atom
# Calculated volume ... 347.04 Å³/cell
# DFT formation energy ... -0.104 eV per atom

---

No. 5
# Ce4Ho3P8 (GGA-PBE, relaxed)
data_Ce4Ho3P8
_cell_length_a 8.053
_cell_length_b 8.053
_cell_length_c 8.020
_cell_angle_alpha 119.53
_cell_angle_beta 119.53
_cell_angle_gamma 90.37
_symmetry_space_group_name_H-M 'P 1'
_symmetry_Int_Tables_number 1
loop_
_symmetry_equiv_pos_as_xyz
'x,y,z'
loop_
_atom_site_label
_atom_site_type_symbol
_atom_site_fract_x
_atom_site_fract_y
_atom_site_fract_z
_atom_site_occupancy
Ce1 Ce 0.000 0.000 0.000 1
Ce2 Ce 0.000 0.500 0.000 1
Ce3 Ce 0.500 0.000 0.000 1
Ce4 Ce 0.500 0.500 0.500 1
Ho1 Ho 0.000 0.000 0.500 1
Ho2 Ho 0.000 0.500 0.500 1
Ho3 Ho 0.500 0.000 0.500 1
P1 P 0.246 0.754 0.000 1
P2 P 0.247 0.247 0.491 1
P3 P 0.247 0.247 0.999 1
P4 P 0.248 0.752 0.500 1
P5 P 0.752 0.248 0.500 1
P6 P 0.753 0.753 0.001 1
P7 P 0.753 0.753 0.509 1
P8 P 0.754 0.246 0.000 1
# Calculated total energy ... -6.673 eV per atom
# Calculated volume ... 371.77 Å³/cell
# DFT formation energy ... -1.290 eV per atom

---

No. 6
# Mg5Cd4Hg (GGA-PBE, relaxed)
data_Mg5Cd4Hg
_cell_length_a 3.545
_cell_length_b 3.545
_cell_length_c 17.177
_cell_angle_alpha 90.00
_cell_angle_beta 90.00
_cell_angle_gamma 90.00
_symmetry_space_group_name_H-M 'P 1'
_symmetry_Int_Tables_number 1
loop_
_symmetry_equiv_pos_as_xyz
'x,y,z'
loop_
_atom_site_label
_atom_site_type_symbol
_atom_site_fract_x
_atom_site_fract_y
_atom_site_fract_z
_atom_site_occupancy
Mg1 Mg 0.000 0.000 0.000 1
Mg2 Mg 0.000 0.000 0.200 1
Mg3 Mg 0.000 0.000 0.403 1
Mg4 Mg 0.000 0.000 0.597 1
Mg5 Mg 0.000 0.000 0.800 1
Cd1 Cd 0.500 0.500 0.100 1
Cd2 Cd 0.500 0.500 0.300 1
Cd3 Cd 0.500 0.500 0.700 1
Cd4 Cd 0.500 0.500 0.900 1
Hg1 Hg 0.500 0.500 0.500 1
# Calculated total energy ... -1.308 eV per atom
# Calculated volume ... 215.83 Å³/cell
# DFT formation energy ... -0.114 eV per atom

---

No. 7
# Zr2CCl (GGA-PBE, relaxed)
data_Zr2CCl
_cell_length_a 4.379
_cell_length_b 4.379
_cell_length_c 4.379
_cell_angle_alpha 60.00
_cell_angle_beta 60.00
_cell_angle_gamma 60.00
_symmetry_space_group_name_H-M 'P 1'
_symmetry_Int_Tables_number 1
loop_
_symmetry_equiv_pos_as_xyz
'x,y,z'
loop_
_atom_site_label
_atom_site_type_symbol
_atom_site_fract_x
_atom_site_fract_y
_atom_site_fract_z
_atom_site_occupancy
Zr1 Zr 0.250 0.250 0.250 1
Zr2 Zr 0.750 0.750 0.750 1
C1 C 0.000 0.000 0.000 1
Cl1 Cl 0.500 0.500 0.500 1
# Calculated total energy ... -7.158 eV per atom
# Calculated volume ... 59.36 Å³/cell
# Raw formation energy ... -116 meV per atom

---

No. 8
# SrScSnSb2 (GGA-PBE, relaxed)
data_SrScSnSb2
_cell_length_a 5.440
_cell_length_b 5.440
_cell_length_c 6.084
_cell_angle_alpha 90.00
_cell_angle_beta 90.00
_cell_angle_gamma 90.00
_symmetry_space_group_name_H-M 'P 1'
_symmetry_Int_Tables_number 1
loop_
_symmetry_equiv_pos_as_xyz
'x,y,z'
loop_
_atom_site_label
_atom_site_type_symbol
_atom_site_fract_x
_atom_site_fract_y
_atom_site_fract_z
_atom_site_occupancy
Sr1 Sr 0.000 0.000 0.000 1
Sc1 Sc 0.000 0.000 0.500 1
Sn1 Sn 0.500 0.500 0.000 1
Sb1 Sb 0.000 0.500 0.500 1
Sb2 Sb 0.500 0.000 0.500 1
# Calculated total energy ... -3.909 eV per atom
# Calculated volume ... 180.03 Å³/cell
# Raw formation energy ... 143 meV per atom

---

No. 9
# LiLa4Pu3N8 (GGA-PBE, relaxed)
data_LiLa4Pu3N8
_cell_length_a 7.156
_cell_length_b 7.156
_cell_length_c 7.156
_cell_angle_alpha 59.81
_cell_angle_beta 59.81
_cell_angle_gamma 59.81
_symmetry_space_group_name_H-M 'P 1'
_symmetry_Int_Tables_number 1
loop_
_symmetry_equiv_pos_as_xyz
'x,y,z'
loop_
_atom_site_label
_atom_site_type_symbol
_atom_site_fract_x
_atom_site_fract_y
_atom_site_fract_z
_atom_site_occupancy
Li1 Li 0.000 0.000 0.000 1
La1 La 0.000 0.000 0.500 1
La2 La 0.000 0.500 0.000 1
La3 La 0.500 0.000 0.000 1
La4 La 0.500 0.500 0.500 1
Pu1 Pu 0.000 0.500 0.500 1
Pu2 Pu 0.500 0.000 0.500 1
Pu3 Pu 0.500 0.500 0.000 1
N1 N 0.252 0.252 0.716 1
N2 N 0.252 0.716 0.252 1
N3 N 0.258 0.258 0.258 1
N4 N 0.284 0.748 0.748 1
N5 N 0.716 0.252 0.252 1
N6 N 0.742 0.742 0.742 1
N7 N 0.748 0.284 0.748 1
N8 N 0.748 0.748 0.284 1
# Calculated total energy ... -9.318 eV per atom
# Calculated volume ... 257.99 Å³/cell
# Raw formation energy ... -1117 meV per atom

---

No. 10
# Ag2HgCl6 (GGA-PBE, relaxed)
data_Ag2HgCl6
_cell_length_a 9.419
_cell_length_b 9.419
_cell_length_c 6.676
_cell_angle_alpha 102.84
_cell_angle_beta 102.84
_cell_angle_gamma 82.40
_symmetry_space_group_name_H-M 'P 1'
_symmetry_Int_Tables_number 1
loop_
_symmetry_equiv_pos_as_xyz
'x,y,z'
loop_
_atom_site_label
_atom_site_type_symbol
_atom_site_fract_x
_atom_site_fract_y
_atom_site_fract_z
_atom_site_occupancy
Ag1 Ag 0.172 0.324 0.453 1
Ag2 Ag 0.324 0.172 0.953 1
Ag3 Ag 0.676 0.828 0.047 1
Ag4 Ag 0.828 0.676 0.547 1
Hg1 Hg 0.198 0.802 0.750 1
Hg2 Hg 0.802 0.198 0.250 1
Cl1 Cl 0.038 0.238 0.097 1
Cl2 Cl 0.078 0.650 0.427 1
Cl3 Cl 0.238 0.038 0.597 1
Cl4 Cl 0.306 0.402 0.815 1
Cl5 Cl 0.350 0.922 0.073 1
Cl6 Cl 0.402 0.306 0.315 1
Cl7 Cl 0.598 0.694 0.685 1
Cl8 Cl 0.650 0.078 0.927 1
Cl9 Cl 0.694 0.598 0.185 1
Cl10 Cl 0.762 0.962 0.403 1
Cl11 Cl 0.922 0.350 0.573 1
Cl12 Cl 0.962 0.762 0.903 1
# Calculated total energy ... -2.273 eV per atom
# Calculated volume ... 560.86 Å³/cell
# Raw formation energy ... -375 meV per atom

---

Which of these has the lowest calculated volume?
Zr2CCl

---

calculated total energy of number 9 (LiLa4Pu3N8)?
-9.318 eV per atom